Record 1
Here is a geometry-optimized NaLiCrTe3 structure from Alexandria. Energies are from PBE.

Cell lengths 4.0083, 7.9447, 10.3681 Å; angles 110.42, 90.00, 90.00 degrees
Last column: magnetic moment on the atom in μB.
Fractional coordinates of all 12 atoms:
Te (0.7500, 0.4366, 0.1229)  -0.18
Te (0.7500, 0.9092, 0.1338)  -0.14
Te (0.2500, 0.0908, 0.8662)  -0.14
Li (0.7500, 0.9250, 0.3945)  -0.01
Li (0.2500, 0.0750, 0.6055)  -0.01
Na (0.7500, 0.7289, 0.6879)  0.00
Na (0.2500, 0.2711, 0.3121)  0.00
Te (0.2500, 0.7180, 0.4312)  -0.10
Cr (0.7500, 0.3122, 0.8410)  2.87
Cr (0.2500, 0.6878, 0.1590)  2.87
Te (0.7500, 0.2820, 0.5688)  -0.10
Te (0.2500, 0.5634, 0.8771)  -0.18

Calculated values
The calculation puts the formation energy (no corrections) at -529 meV per atom. Its space group is P2_1/m.

Record 2
Here is a geometry-optimized LiNbCr3 structure from Alexandria. Energies are from PBE.

Cell lengths 4.8033, 4.8033, 4.8033 Å; angles 90.00, 90.00, 90.00 degrees
Last column: magnetic moment on the atom in μB.
Fractional coordinates of all 5 atoms:
Li (0.5000, 0.5000, 0.5000)  0.00
Nb (0.0000, 0.0000, 0.0000)  -0.80
Cr (0.5000, 0.0000, 0.0000)  3.52
Cr (0.0000, 0.0000, 0.5000)  2.79
Cr (0.0000, 0.5000, 0.0000)  3.09

Calculated values
The value obtained for the formation energy from the elements is 1423 meV/atom. Its space group is Pm-3m. The excess energy over the best structure of this formula in the dataset is 0.1895 eV per atom.

Record 3
Here is a geometry-optimized Li2NbCr structure from Alexandria. Energies are from PBE.

Cell lengths 7.1002, 7.1002, 5.5368 Å; angles 50.12, 50.12, 90.00 degrees
Fractional coordinates of all 8 atoms:
Li (0.6046, 0.1250, 0.2500)
Cr (0.5000, 0.5000, 0.0000)
Nb (0.7500, 0.2500, 0.5000)
Li (0.8750, 0.8546, 0.7500)
Li (0.3750, 0.3954, 0.7500)
Li (0.1454, 0.6250, 0.2500)
Cr (0.2500, 0.7500, 0.5000)
Nb (0.0000, 0.0000, 0.0000)

Calculated values
The value obtained for the formation energy from the elements is 856 meV/atom. Its space group is I-42d.

Record 4
Here is a geometry-optimized LiNb3Cr structure from Alexandria. Energies are from PBE.

Cell lengths 4.6481, 4.6481, 4.6481 Å; angles 90.00, 90.00, 90.00 degrees
Fractional coordinates of all 5 atoms:
Cr (0.0000, 0.0000, 0.0000)
Nb (0.5000, 0.0000, 0.0000)
Nb (0.0000, 0.0000, 0.5000)
Nb (0.0000, 0.5000, 0.0000)
Li (0.5000, 0.5000, 0.5000)

Calculated values
The value obtained for the formation energy from the elements is 908 meV/atom. Its space group is Pm-3m. The excess energy over the best structure of this formula in the dataset is 0.0000 eV per atom.

Record 5
Here is a geometry-optimized Li2NbCr structure from Alexandria. Energies are from PBE.

Cell lengths 4.2435, 4.2435, 4.2435 Å; angles 60.00, 60.00, 60.00 degrees
Fractional coordinates of all 4 atoms:
Li (0.7500, 0.7500, 0.7500)
Cr (0.0000, 0.0000, 0.0000)
Li (0.2500, 0.2500, 0.2500)
Nb (0.5000, 0.5000, 0.5000)

Calculated values
The value obtained for the formation energy from the elements is 857 meV/atom. Its space group is Fm-3m.

Record 6
Here is a geometry-optimized LiNb2Cr structure from Alexandria. Energies are from PBE.

Cell lengths 6.8578, 6.8578, 5.5545 Å; angles 51.88, 51.88, 90.00 degrees
Fractional coordinates of all 8 atoms:
Nb (0.3750, 0.3685, 0.7500)
Nb (0.8750, 0.8815, 0.7500)
Nb (0.6315, 0.1250, 0.2500)
Nb (0.1185, 0.6250, 0.2500)
Li (0.2500, 0.7500, 0.5000)
Li (0.5000, 0.5000, 0.0000)
Cr (0.0000, 0.0000, 0.0000)
Cr (0.7500, 0.2500, 0.5000)

Calculated values
The value obtained for the formation energy from the elements is 702 meV/atom. Its space group is I-42d. The excess energy over the best structure of this formula in the dataset is 0.4308 eV per atom.

Record 7
Here is a geometry-optimized LiNb3Cr structure from Alexandria. Energies are from PBE.

Cell lengths 4.3657, 4.3657, 4.3657 Å; angles 90.00, 90.00, 90.00 degrees
Fractional coordinates of all 5 atoms:
Cr (0.5000, 0.5000, 0.5000)
Li (0.0000, 0.0000, 0.0000)
Nb (0.0000, 0.5000, 0.0000)
Nb (0.5000, 0.0000, 0.0000)
Nb (0.0000, 0.0000, 0.5000)

Calculated values
The value obtained for the formation energy from the elements is 1357 meV/atom. Its space group is Pm-3m. The excess energy over the best structure of this formula in the dataset is 0.4493 eV per atom.

Record 8
Here is a geometry-optimized LiNb2Cr structure from Alexandria. Energies are from PBE.

Cell lengths 4.4080, 4.4080, 4.4080 Å; angles 60.00, 60.00, 60.00 degrees
Fractional coordinates of all 4 atoms:
Nb (0.2500, 0.2500, 0.2500)
Cr (0.5000, 0.5000, 0.5000)
Nb (0.7500, 0.7500, 0.7500)
Li (0.0000, 0.0000, 0.0000)

Calculated values
The value obtained for the formation energy from the elements is 271 meV/atom. Its space group is Fm-3m. The excess energy over the best structure of this formula in the dataset is 0.0000 eV per atom.

| no. | total magnetic moment (μB/cell) | calculated total energy (eV per atom) |
| --- | --- | --- |
| 1 | 5.0 | -4.243 |
| 2 | 9.6 | -6.747 |
| 3 | 0.0 | -5.024 |
| 4 | 0.0 | -7.441 |
| 5 | 0.0 | -5.024 |
| 6 | 0.0 | -7.217 |
| 7 | 0.0 | -6.992 |
| 8 | 0.0 | -7.648 |